1.
## CaCu3Si3 (PBE-GGA)

Data for CaCu3Si3 after structural relaxation.

Values from the calculation:
- formation energy (no corrections) (kJ per mole of atoms) = 11.67
- total DFT energy (no corrections) (eV/cell) = -59.42
- Fermi-level density of states (states/eV per cell) = 9.6

Unit cell a=6.471 b=6.471 c=6.471 alpha=90.00 beta=90.00 gamma=90.00
Space group Pm-3n (No. 223)
Inequivalent atoms, fractional coordinates:
Ca  0.000  0.000  0.000 [2 per cell]
Cu  0.000  0.250  0.500 [6 per cell]
Si  0.000  0.500  0.250 [6 per cell]

=====

2.
## Rb3ErPa2O9 (PBE-GGA)

Data for Rb3ErPa2O9 after structural relaxation.

Values from the calculation:
- formation energy (no corrections) (kJ per mole of atoms) = -264.63
- total DFT energy (no corrections) (eV/cell) = -112.22
- Fermi-level density of states (states/eV per cell) = 12.3

Unit cell a=6.2482 b=6.2482 c=7.6166 alpha=90.00 beta=90.00 gamma=120.00
Space group P-3m1 (No. 164)
Inequivalent atoms, fractional coordinates:
Rb  0.0000  0.0000  0.0000 [1 per cell]
Rb  0.3333  0.6667  0.6637 [2 per cell]
Er  0.0000  0.0000  0.5000 [1 per cell]
Pa  0.3333  0.6667  0.1711 [2 per cell]
O  0.0000  0.5000  0.0000 [3 per cell]
O  0.1713  0.3427  0.3296 [6 per cell]

=====

3.
## MoAsSe3 (PBE-GGA)

Data for MoAsSe3 after structural relaxation.

Values from the calculation:
- formation energy (no corrections) (kJ per mole of atoms) = 46.43
- total DFT energy (no corrections) (eV/cell) = -23.53
- Fermi-level density of states (states/eV per cell) = 5.8
- E above lowest polymorph (eV/f.u.) = 0.000

Unit cell a=4.919 b=4.919 c=4.919 alpha=90.00 beta=90.00 gamma=90.00
Space group Pm-3m (No. 221)
Inequivalent atoms, fractional coordinates:
Mo  0.000  0.000  0.000 [1 per cell]
As  0.500  0.500  0.500 [1 per cell]
Se  0.000  0.000  0.500 [3 per cell]

=====

4.
## KRbCr2 (PBE-GGA)

Data for KRbCr2 after structural relaxation.

Values from the calculation:
- formation energy (meV per atom) = 1298
- total DFT energy (no corrections) (eV/cell) = -64.47
- Fermi-level density of states (states/eV per cell) = 6.2
- E above lowest polymorph (eV/f.u.) = 0.000

Unit cell a=8.688 b=8.688 c=8.688 alpha=90.00 beta=90.00 gamma=90.00
Space group Fm-3m (No. 225)
Inequivalent atoms, fractional coordinates:
K  0.000  0.000  0.000 [4 per cell]
Rb  0.000  0.000  0.500 [4 per cell]
Cr  0.250  0.250  0.250 [8 per cell]